12
Lattice="-3.5273 3.5273 3.3308 3.5273 -3.5273 3.3308 3.5273 3.5273 -3.3308" Properties=species:S:1:pos:R:3 comment="CaUGa2O8, relaxed, DFT PBE" dft_energy_ev_per_fu=-83.48 volume_a3_per_cell=166 pbc="T T T"
Ca 0.0000 0.0000 0.0000
U 3.5273 0.0000 1.6654
Ga 0.0000 0.0000 3.3308
Ga 0.0000 3.5273 1.6654
O 2.0555 3.5273 -1.1437
O 1.4717 0.0000 2.1871
O 0.0000 2.2522 0.3300
O 3.5273 2.0555 1.1437
O 0.0000 4.8024 0.3300
O 0.0000 1.4717 4.4744
O -1.2751 3.5273 3.0007
O 1.2751 3.5273 3.0007